(1)
Material: CsMoO3
Method: DFT, GGA+U
State: optimized geometry

Properties
calculated density: 3949 kg/m3
E: -6.37 eV/atom

a b c (Å): 5.602 6.807 6.813
angles (deg): 116.33 90.15 90.16
Space group P-1 (No. 2)
One atom of each set of equivalent atoms:
Cs1 0.250 0.153 0.347 x2
Mo1 0.250 0.557 0.942 x2
O1 0.002 0.676 0.176 x2
O2 0.250 0.709 0.789 x2
O3 0.498 0.323 0.824 x2



(2)
Material: CsMoO3
Method: DFT, GGA+U
State: optimized geometry

Properties
calculated density: 4140 kg/m3
E: -5.61 eV/atom

a b c (Å): 4.463 4.463 22.301
angles (deg): 90.00 90.00 90.00
Space group I-4m2 (No. 119)
One atom of each set of equivalent atoms:
Cs1 0.000 0.000 0.103 x4
Mo1 0.000 0.000 0.500 x2
Mo2 0.000 0.500 0.250 x2
O1 0.000 0.226 0.308 x8
O2 0.000 0.500 0.501 x4



(3)
Material: CsMoOs2O8
Method: DFT, GGA+U
State: optimized geometry

Properties
calculated density: 5055 kg/m3
E: -6.99 eV/atom

a b c (Å): 5.6458 5.6458 8.7741
angles (deg): 90.00 90.00 120.00
Space group P-3 (No. 147)
One atom of each set of equivalent atoms:
Cs1 0.0000 0.0000 0.0000 x1
Mo1 0.0000 0.0000 0.5000 x1
Os1 0.3333 0.6667 0.7115 x2
O1 0.0777 0.3291 0.6430 x6
O2 0.3333 0.6667 0.9137 x2



(4)
Material: Cs2Mo3P3O17
Method: DFT, GGA+U
State: optimized geometry

Properties
calculated density: 3757 kg/m3
E: -6.93 eV/atom

a b c (Å): 11.119 9.773 16.088
angles (deg): 90.00 111.73 90.00
Space group P2_1/c (No. 14)
One atom of each set of equivalent atoms:
Cs1 0.094 0.128 0.206 x4
Cs2 0.310 0.112 0.987 x4
Mo1 0.080 0.743 0.094 x4
Mo2 0.253 0.617 0.935 x4
Mo3 0.454 0.115 0.756 x4
P1 0.170 0.094 0.569 x4
P2 0.338 0.681 0.295 x4
P3 0.458 0.103 0.378 x4
O1 0.034 0.246 0.855 x4
O2 0.063 0.205 0.527 x4
O3 0.099 0.588 0.569 x4
O4 0.107 0.603 0.846 x4
O5 0.109 0.531 0.096 x4
O6 0.208 0.712 0.013 x4
O7 0.233 0.058 0.499 x4
O8 0.234 0.738 0.210 x4
O9 0.271 0.165 0.650 x4
O10 0.306 0.718 0.379 x4
O11 0.340 0.013 0.372 x4
O12 0.342 0.522 0.297 x4
O13 0.397 0.236 0.325 x4
O14 0.406 0.570 0.658 x4
O15 0.457 0.639 0.025 x4
O16 0.460 0.530 0.168 x4
O17 0.471 0.742 0.306 x4